Below is a relaxed structure of Al2RhBr, with properties calculated at the PBE level.

Cell lengths 11.450, 2.998, 4.584 Å; angles 90.00, 108.19, 90.00 degrees
Space group C2/m (No. 12)
One atom of each set of equivalent atoms:
Al 0.195 0.000 0.216
Rh 0.000 0.500 0.000
Br 0.000 0.000 0.500

## Properties
D(E_F) (states/eV/cell): 3.5
Formation energy from raw total energies (kJ/mol of formula units): 19
E above lowest polymorph (meV/atom): 564